VASP calculation (PBE) on crystalline GePt2Au at its relaxed geometry.

Values from the calculation:
DFT total energy in eV/atom: -5.15
SG: R-3m, No. 166
Formation enthalpy at 0 K in eV/atom: -0.1568

Cell and atoms, written as CIF:
```
data_GePt2Au
_space_group_name_H-M_alt 'P 1'
_space_group_IT_number 1
_cell_length_a 3.950
_cell_length_b 3.950
_cell_length_c 5.716
_cell_angle_alpha 69.79
_cell_angle_beta 69.79
_cell_angle_gamma 60.00
loop_
_space_group_symop_operation_xyz
'x,y,z'
loop_
_atom_site_label
_atom_site_fract_x
_atom_site_fract_y
_atom_site_fract_z
Ge1 0.000 0.000 0.000
Au1 0.500 0.500 0.500
Pt1 0.268 0.268 0.196
Pt2 0.732 0.732 0.804
```